VASP calculation (PBE-GGA) on a relaxed structure of Mg2TeC.

abc: 4.7219 4.7219 4.7219
angles: 60.00 60.00 60.00
With the nearest neighbours (Å) after each atom.
Fractional coordinates of all 4 atoms:
Mg1 0.2500 0.2500 0.2500  4 Te 2.89, 4 C 2.89
Mg2 0.7500 0.7500 0.7500  4 Te 2.89, 4 C 2.89
Te1 0.5000 0.5000 0.5000  8 Mg 2.89
C1 0.0000 0.0000 0.0000  8 Mg 2.89

Results
SG: Fm-3m (225)
Formation energy (no corrections): 898 meV/atom
N(E_F): 2.26 states/eV per cell